Entry 1:
This record from Alexandria via LeMat-Bulk describes crystalline Mg2BeCd at its relaxed geometry. The functional is PBE-GGA.

Its excess energy over the best structure of this formula in the dataset is 84 meV/atom. Its formation enthalpy at 0 K is 0.2338 eV per atom. The value obtained for the density of states at the Fermi level is 0.282 states/eV/atom. As for the total energy: -1.7238 eV per atom.

The structure belongs to space group Cmmm (No. 65); the cell edges are 6.206, 7.174 and 3.285 Å and the angles 90.00°, 90.00° and 90.00°. The distinct sites, in fractional coordinates, are Mg at (0.250, 0.250, 0.000), Be at (0.000, 0.000, 0.500) and Cd at (0.000, 0.500, 0.500).



Entry 2:
This record from Alexandria via LeMat-Bulk describes crystalline Pr4Hg2N at its relaxed geometry. The functional is PBE-GGA.

Its excess energy over the best structure of this formula in the dataset is 84 meV/atom. The uncorrected formation energy is -0.54 eV per atom. The value obtained for the density of states at the Fermi level is 0.868 states/eV/atom. As for the total energy: -4.5437 eV per atom.

The structure belongs to space group Pbam (No. 55); the cell edges are 8.124, 13.127 and 3.759 Å and the angles 90.00°, 90.00° and 90.00°. The distinct sites, in fractional coordinates, are Pr at (0.112, 0.182, 0.000), Pr at (0.201, 0.953, 0.500), Hg at (0.068, 0.657, 0.500) and N at (0.000, 0.000, 0.000).



Entry 3:
This record from Alexandria via LeMat-Bulk describes crystalline P2RhBr at its relaxed geometry. The functional is PBE-GGA.

Its excess energy over the best structure of this formula in the dataset is 143 meV/atom. The uncorrected formation energy is -0.06 eV per atom. The value obtained for the density of states at the Fermi level is 0.519 states/eV/atom. As for the total energy: -5.0210 eV per atom.

The structure belongs to space group P2/m (No. 10); the cell edges are 4.889, 3.686 and 5.276 Å and the angles 90.00°, 94.88° and 90.00°. The distinct sites, in fractional coordinates, are P at (0.199, 0.000, 0.466), Rh at (0.500, 0.500, 0.500) and Br at (0.500, 0.500, 0.000).



Entry 4:
This record from Alexandria via LeMat-Bulk describes crystalline InIrRh2 at its relaxed geometry. The functional is PBE-GGA.

Its formation enthalpy at 0 K is 0.3470 eV per atom. The value obtained for the density of states at the Fermi level is 1.379 states/eV/atom. As for the total energy: -6.2286 eV per atom.

The structure belongs to space group I-42d (No. 122); the cell edges are 3.909, 3.909 and 18.241 Å and the angles 90.00°, 90.00° and 90.00°. The distinct sites, in fractional coordinates, are In at (0.000, 0.000, 0.000), Ir at (0.000, 0.000, 0.500) and Rh at (0.219, 0.250, 0.625).



Copy entry 4 word for word.
This record from Alexandria via LeMat-Bulk describes crystalline InIrRh2 at its relaxed geometry. The functional is PBE-GGA.

Its formation enthalpy at 0 K is 0.3470 eV per atom. The value obtained for the density of states at the Fermi level is 1.379 states/eV/atom. As for the total energy: -6.2286 eV per atom.

The structure belongs to space group I-42d (No. 122); the cell edges are 3.909, 3.909 and 18.241 Å and the angles 90.00°, 90.00° and 90.00°. The distinct sites, in fractional coordinates, are In at (0.000, 0.000, 0.000), Ir at (0.000, 0.000, 0.500) and Rh at (0.219, 0.250, 0.625).



Please write out number 1 again, unchanged.
This record from Alexandria via LeMat-Bulk describes crystalline Mg2BeCd at its relaxed geometry. The functional is PBE-GGA.

Its excess energy over the best structure of this formula in the dataset is 84 meV/atom. Its formation enthalpy at 0 K is 0.2338 eV per atom. The value obtained for the density of states at the Fermi level is 0.282 states/eV/atom. As for the total energy: -1.7238 eV per atom.

The structure belongs to space group Cmmm (No. 65); the cell edges are 6.206, 7.174 and 3.285 Å and the angles 90.00°, 90.00° and 90.00°. The distinct sites, in fractional coordinates, are Mg at (0.250, 0.250, 0.000), Be at (0.000, 0.000, 0.500) and Cd at (0.000, 0.500, 0.500).